First-principles (PBE) data for a geometry-optimized BaLaIn structure, as listed in Alexandria via LeMat-Bulk.

a b c (Å): 4.1388 4.1388 14.1564
angles (deg): 90.00 90.00 90.00
Space group I4mm (No. 107)
Asymmetric unit:
Ba: 0.0000 0.0000 0.0000 [2 per cell]
La: 0.0000 0.0000 0.2726 [2 per cell]
In: 0.0000 0.0000 0.6602 [2 per cell]

Properties
* formation energy: -0.228 eV/atom
* offset from the most stable computed form: 2.18 kcal/mol of atoms
* electronic total energy: -3.42 eV/atom
* N(E_F): 1.22 states/eV/atom